No. 1
# ErAgSeO (PBE-GGA, optimized geometry)
data_ErAgSeO
_chemical_formula_sum 'Er4 Ag4 Se4 O4'
_cell_length_a 7.026
_cell_length_b 6.440
_cell_length_c 6.219
_cell_angle_alpha 90.00
_cell_angle_beta 95.03
_cell_angle_gamma 90.00
_space_group_name_H-M_alt 'P 1'
_space_group_IT_number 1
_space_group_name_Hall 'P 1'
loop_
_atom_site_label
_atom_site_fract_x
_atom_site_fract_y
_atom_site_fract_z
_atom_site_occupancy
Ag1 0.088 0.707 0.005 1
Ag2 0.912 0.293 0.995 1
Ag3 0.912 0.207 0.495 1
Ag4 0.088 0.793 0.505 1
O1 0.461 0.722 0.978 1
O2 0.461 0.778 0.478 1
O3 0.539 0.278 0.022 1
O4 0.539 0.222 0.522 1
Se1 0.184 0.075 0.806 1
Se2 0.816 0.575 0.694 1
Se3 0.816 0.925 0.194 1
Se4 0.184 0.425 0.306 1
Er1 0.589 0.546 0.256 1
Er2 0.411 0.454 0.744 1
Er3 0.411 0.046 0.244 1
Er4 0.589 0.954 0.756 1
# - Space group: P2_1/c, No. 14
# - ρ: 8.8 g/cm3
# - DFT total energy: -5.661 eV/atom



No. 2
# AcNdSm (PBE-GGA, optimized geometry)
data_AcNdSm
_chemical_formula_sum 'Ac1 Nd1 Sm1'
_cell_length_a 5.726
_cell_length_b 5.726
_cell_length_c 5.726
_cell_angle_alpha 60.00
_cell_angle_beta 60.00
_cell_angle_gamma 60.00
_space_group_name_H-M_alt 'P 1'
_space_group_IT_number 1
_space_group_name_Hall 'P 1'
loop_
_atom_site_label
_atom_site_fract_x
_atom_site_fract_y
_atom_site_fract_z
_atom_site_occupancy
Nd1 0.750 0.750 0.750 1
Sm1 0.000 0.000 0.000 1
Ac1 0.250 0.250 0.250 1
# - Space group: F-43m, No. 216
# - ρ: 6.5 g/cm3
# - Energy above the most stable polymorph in this dataset: 0.0 kJ/mol of atoms
# - E_form: 0.65 eV per atom
# - DFT total energy: -3.873 eV/atom



No. 3
# AlAu3 (PBE-GGA, optimized geometry)
data_AlAu3
_chemical_formula_sum 'Al2 Au6'
_cell_length_a 5.856
_cell_length_b 5.856
_cell_length_c 4.655
_cell_angle_alpha 90.00
_cell_angle_beta 90.00
_cell_angle_gamma 120.00
_space_group_name_H-M_alt 'P 1'
_space_group_IT_number 1
_space_group_name_Hall 'P 1'
loop_
_atom_site_label
_atom_site_fract_x
_atom_site_fract_y
_atom_site_fract_z
_atom_site_occupancy
Au1 0.170 0.341 0.250 1
Au2 0.830 0.659 0.750 1
Au3 0.830 0.170 0.750 1
Au4 0.170 0.830 0.250 1
Au5 0.659 0.830 0.250 1
Au6 0.341 0.170 0.750 1
Al1 0.667 0.333 0.250 1
Al2 0.333 0.667 0.750 1
# - Space group: P6_3/mmc, No. 194
# - ρ: 14.8 g/cm3
# - DFT total energy: -3.593 eV/atom



No. 4
# Nb7Fe3B8 (PBE-GGA, optimized geometry)
data_Nb7Fe3B8
_chemical_formula_sum 'Nb7 Fe3 B8'
_cell_length_a 8.360
_cell_length_b 8.360
_cell_length_c 3.300
_cell_angle_alpha 90.00
_cell_angle_beta 90.00
_cell_angle_gamma 120.00
_space_group_name_H-M_alt 'P 1'
_space_group_IT_number 1
_space_group_name_Hall 'P 1'
loop_
_atom_site_label
_atom_site_fract_x
_atom_site_fract_y
_atom_site_fract_z
_atom_site_occupancy
Nb1 0.788 0.575 0.000 1
Nb2 0.575 0.788 0.000 1
Nb3 0.425 0.212 0.000 1
Nb4 0.788 0.212 0.000 1
Nb5 0.212 0.788 0.000 1
Nb6 0.000 0.000 0.000 1
Nb7 0.212 0.425 0.000 1
Fe1 0.500 0.500 0.500 1
Fe2 0.000 0.500 0.500 1
Fe3 0.500 0.000 0.500 1
B1 0.218 0.218 0.500 1
B2 0.000 0.782 0.500 1
B3 0.782 0.000 0.500 1
B4 0.218 0.000 0.500 1
B5 0.000 0.218 0.500 1
B6 0.333 0.667 0.500 1
B7 0.667 0.333 0.500 1
B8 0.782 0.782 0.500 1
# - Space group: P6/mmm, No. 191
# - ρ: 7.5 g/cm3
# - DFT total energy: -8.923 eV/atom



No. 5
# RbNdGd (PBE-GGA, optimized geometry)
data_RbNdGd
_chemical_formula_sum 'Rb1 Nd1 Gd1'
_cell_length_a 6.054
_cell_length_b 6.054
_cell_length_c 6.054
_cell_angle_alpha 60.00
_cell_angle_beta 60.00
_cell_angle_gamma 60.00
_space_group_name_H-M_alt 'P 1'
_space_group_IT_number 1
_space_group_name_Hall 'P 1'
loop_
_atom_site_label
_atom_site_fract_x
_atom_site_fract_y
_atom_site_fract_z
_atom_site_occupancy
Rb1 0.750 0.750 0.750 1
Nd1 0.250 0.250 0.250 1
Gd1 0.000 0.000 0.000 1
# - Space group: F-43m, No. 216
# - ρ: 4.1 g/cm3
# - Energy above the most stable polymorph in this dataset: 0.0 kJ/mol of atoms
# - DFT total energy: -2.262 eV/atom



No. 6
# Ho3Mg3In2Ir (PBE-GGA, optimized geometry)
data_Ho3Mg3In2Ir
_chemical_formula_sum 'Ho3 Mg3 In2 Ir1'
_cell_length_a 7.422
_cell_length_b 7.422
_cell_length_c 4.512
_cell_angle_alpha 90.00
_cell_angle_beta 90.00
_cell_angle_gamma 120.00
_space_group_name_H-M_alt 'P 1'
_space_group_IT_number 1
_space_group_name_Hall 'P 1'
loop_
_atom_site_label
_atom_site_fract_x
_atom_site_fract_y
_atom_site_fract_z
_atom_site_occupancy
Mg1 0.770 0.770 0.500 1
Mg2 0.000 0.230 0.500 1
Mg3 0.230 0.000 0.500 1
Ir1 0.000 0.000 0.000 1
In1 0.333 0.667 0.500 1
In2 0.667 0.333 0.500 1
Ho1 0.611 0.000 0.000 1
Ho2 0.000 0.611 0.000 1
Ho3 0.389 0.389 0.000 1
# - Space group: P-62m, No. 189
# - ρ: 7.6 g/cm3
# - DFT total energy: -4.079 eV/atom



No. 7
# PmTm3Tc (PBE-GGA, optimized geometry)
data_PmTm3Tc
_chemical_formula_sum 'Pm2 Tm6 Tc2'
_cell_length_a 8.540
_cell_length_b 3.735
_cell_length_c 8.698
_cell_angle_alpha 90.00
_cell_angle_beta 102.10
_cell_angle_gamma 90.00
_space_group_name_H-M_alt 'P 1'
_space_group_IT_number 1
_space_group_name_Hall 'P 1'
loop_
_atom_site_label
_atom_site_fract_x
_atom_site_fract_y
_atom_site_fract_z
_atom_site_occupancy
Pm1 0.670 0.750 0.013 1
Pm2 0.330 0.250 0.987 1
Tm1 0.078 0.750 0.183 1
Tm2 0.525 0.250 0.663 1
Tm3 0.155 0.750 0.612 1
Tm4 0.845 0.250 0.388 1
Tm5 0.922 0.250 0.817 1
Tm6 0.475 0.750 0.337 1
Tc1 0.236 0.250 0.403 1
Tc2 0.764 0.750 0.597 1
# - Space group: P2_1/m, No. 11
# - ρ: 9.2 g/cm3
# - E_form: -0.09 eV per atom
# - DFT total energy: -5.795 eV/atom



No. 8
# CuReSnTe (PBE-GGA, optimized geometry)
data_CuReSnTe
_chemical_formula_sum 'Cu1 Re1 Sn1 Te1'
_cell_length_a 4.705
_cell_length_b 4.705
_cell_length_c 4.705
_cell_angle_alpha 60.00
_cell_angle_beta 60.00
_cell_angle_gamma 60.00
_space_group_name_H-M_alt 'P 1'
_space_group_IT_number 1
_space_group_name_Hall 'P 1'
loop_
_atom_site_label
_atom_site_fract_x
_atom_site_fract_y
_atom_site_fract_z
_atom_site_occupancy
Cu1 0.750 0.750 0.750 1
Te1 0.500 0.500 0.500 1
Re1 0.250 0.250 0.250 1
Sn1 0.000 0.000 0.000 1
# - Space group: F-43m, No. 216
# - ρ: 11.2 g/cm3
# - Energy above the most stable polymorph in this dataset: 0.0 kJ/mol of atoms
# - DFT total energy: -5.177 eV/atom



No. 9
# RbZrCu3Te4 (PBE-GGA, optimized geometry)
data_RbZrCu3Te4
_chemical_formula_sum 'Rb2 Zr2 Cu6 Te8'
_cell_length_a 6.242
_cell_length_b 8.241
_cell_length_c 10.772
_cell_angle_alpha 90.00
_cell_angle_beta 106.37
_cell_angle_gamma 90.00
_space_group_name_H-M_alt 'P 1'
_space_group_IT_number 1
_space_group_name_Hall 'P 1'
loop_
_atom_site_label
_atom_site_fract_x
_atom_site_fract_y
_atom_site_fract_z
_atom_site_occupancy
Cu1 0.788 0.510 0.998 1
Cu2 0.841 0.750 0.187 1
Cu3 0.212 0.490 0.002 1
Cu4 0.159 0.250 0.813 1
Cu5 0.788 0.990 0.998 1
Cu6 0.212 0.010 0.002 1
Te1 0.731 0.750 0.411 1
Te2 0.269 0.250 0.589 1
Te3 0.097 0.481 0.220 1
Te4 0.903 0.981 0.780 1
Te5 0.526 0.250 0.021 1
Te6 0.903 0.519 0.780 1
Te7 0.474 0.750 0.979 1
Te8 0.097 0.019 0.220 1
Zr1 0.644 0.250 0.790 1
Zr2 0.356 0.750 0.210 1
Rb1 0.319 0.750 0.612 1
Rb2 0.681 0.250 0.388 1
# - Space group: P2_1/m, No. 11
# - ρ: 5.5 g/cm3
# - Energy above the most stable polymorph in this dataset: 0.0 kJ/mol of atoms
# - DFT total energy: -4.217 eV/atom



No. 10
# YZnCuSb (PBE-GGA, optimized geometry)
data_YZnCuSb
_chemical_formula_sum 'Y1 Zn1 Cu1 Sb1'
_cell_length_a 4.863
_cell_length_b 4.863
_cell_length_c 4.863
_cell_angle_alpha 60.00
_cell_angle_beta 60.00
_cell_angle_gamma 60.00
_space_group_name_H-M_alt 'P 1'
_space_group_IT_number 1
_space_group_name_Hall 'P 1'
loop_
_atom_site_label
_atom_site_fract_x
_atom_site_fract_y
_atom_site_fract_z
_atom_site_occupancy
Y1 0.500 0.500 0.500 1
Sb1 0.000 0.000 0.000 1
Zn1 0.250 0.250 0.250 1
Cu1 0.750 0.750 0.750 1
# - Space group: F-43m, No. 216
# - ρ: 6.9 g/cm3
# - Energy above the most stable polymorph in this dataset: 0.0 kJ/mol of atoms
# - DFT total energy: -4.087 eV/atom



No. 11
# ReBiPO (PBE-GGA, optimized geometry)
data_ReBiPO
_chemical_formula_sum 'Re2 Bi2 P2 O2'
_cell_length_a 3.943
_cell_length_b 3.943
_cell_length_c 8.875
_cell_angle_alpha 90.00
_cell_angle_beta 90.00
_cell_angle_gamma 90.00
_space_group_name_H-M_alt 'P 1'
_space_group_IT_number 1
_space_group_name_Hall 'P 1'
loop_
_atom_site_label
_atom_site_fract_x
_atom_site_fract_y
_atom_site_fract_z
_atom_site_occupancy
Bi1 0.000 0.500 0.143 1
Bi2 0.500 0.000 0.857 1
Re1 0.000 0.000 0.500 1
Re2 0.500 0.500 0.500 1
P1 0.000 0.500 0.656 1
P2 0.500 0.000 0.344 1
O1 0.000 0.000 0.000 1
O2 0.500 0.500 0.000 1
# - Space group: P4/nmm, No. 129
# - ρ: 10.6 g/cm3
# - Energy above the most stable polymorph in this dataset: 0.0 kJ/mol of atoms
# - DFT total energy: -7.125 eV/atom



No. 12
# AsPtW2 (PBE-GGA, optimized geometry)
data_AsPtW2
_chemical_formula_sum 'As1 Pt1 W2'
_cell_length_a 4.518
_cell_length_b 4.518
_cell_length_c 4.518
_cell_angle_alpha 60.00
_cell_angle_beta 60.00
_cell_angle_gamma 60.00
_space_group_name_H-M_alt 'P 1'
_space_group_IT_number 1
_space_group_name_Hall 'P 1'
loop_
_atom_site_label
_atom_site_fract_x
_atom_site_fract_y
_atom_site_fract_z
_atom_site_occupancy
As1 0.500 0.500 0.500 1
Pt1 0.250 0.250 0.250 1
W1 0.000 0.000 0.000 1
W2 0.750 0.750 0.750 1
# - Space group: F-43m, No. 216
# - ρ: 16.2 g/cm3
# - DFT total energy: -8.637 eV/atom



No. 13
# DyFe3NiB (PBE-GGA, optimized geometry)
data_DyFe3NiB
_chemical_formula_sum 'Dy2 Fe6 Ni2 B2'
_cell_length_a 5.012
_cell_length_b 5.012
_cell_length_c 7.060
_cell_angle_alpha 90.00
_cell_angle_beta 90.00
_cell_angle_gamma 120.00
_space_group_name_H-M_alt 'P 1'
_space_group_IT_number 1
_space_group_name_Hall 'P 1'
loop_
_atom_site_label
_atom_site_fract_x
_atom_site_fract_y
_atom_site_fract_z
_atom_site_occupancy
Fe1 0.000 0.500 0.713 1
Fe2 0.500 0.000 0.287 1
Fe3 0.500 0.000 0.713 1
Fe4 0.500 0.500 0.287 1
Fe5 0.500 0.500 0.713 1
Fe6 0.000 0.500 0.287 1
B1 0.667 0.333 0.500 1
B2 0.333 0.667 0.500 1
Ni1 0.333 0.667 0.000 1
Ni2 0.667 0.333 0.000 1
Dy1 0.000 0.000 0.500 1
Dy2 0.000 0.000 0.000 1
# - Space group: P6/mmm, No. 191
# - ρ: 8.6 g/cm3
# - DFT total energy: -7.229 eV/atom



No. 14
# HoIrPb (PBE-GGA, optimized geometry)
data_HoIrPb
_chemical_formula_sum 'Ho1 Ir1 Pb1'
_cell_length_a 4.729
_cell_length_b 4.729
_cell_length_c 4.729
_cell_angle_alpha 60.00
_cell_angle_beta 60.00
_cell_angle_gamma 60.00
_space_group_name_H-M_alt 'P 1'
_space_group_IT_number 1
_space_group_name_Hall 'P 1'
loop_
_atom_site_label
_atom_site_fract_x
_atom_site_fract_y
_atom_site_fract_z
_atom_site_occupancy
Ir1 0.750 0.750 0.750 1
Pb1 0.000 0.000 0.000 1
Ho1 0.250 0.250 0.250 1
# - Space group: F-43m, No. 216
# - ρ: 12.5 g/cm3
# - DFT total energy: -5.557 eV/atom



No. 15
# TbNd2Cd3Au3 (PBE-GGA, optimized geometry)
data_TbNd2Cd3Au3
_chemical_formula_sum 'Tb1 Nd2 Cd3 Au3'
_cell_length_a 4.005
_cell_length_b 7.888
_cell_length_c 7.888
_cell_angle_alpha 119.79
_cell_angle_beta 90.00
_cell_angle_gamma 90.00
_space_group_name_H-M_alt 'P 1'
_space_group_IT_number 1
_space_group_name_Hall 'P 1'
loop_
_atom_site_label
_atom_site_fract_x
_atom_site_fract_y
_atom_site_fract_z
_atom_site_occupancy
Au1 0.500 0.665 0.338 1
Au2 0.000 0.997 0.997 1
Au3 0.500 0.338 0.665 1
Tb1 0.000 0.595 0.595 1
Cd1 0.500 0.741 0.998 1
Cd2 0.500 0.998 0.741 1
Cd3 0.500 0.260 0.260 1
Nd1 0.000 0.000 0.405 1
Nd2 0.000 0.405 0.000 1
# - Space group: Amm2, No. 38
# - ρ: 10.6 g/cm3
# - E_form: -0.66 eV per atom
# - DFT total energy: -3.619 eV/atom



No. 16
# TaAsAuO (PBE-GGA, optimized geometry)
data_TaAsAuO
_chemical_formula_sum 'Ta2 As2 Au2 O2'
_cell_length_a 4.908
_cell_length_b 4.908
_cell_length_c 4.998
_cell_angle_alpha 90.00
_cell_angle_beta 90.00
_cell_angle_gamma 90.00
_space_group_name_H-M_alt 'P 1'
_space_group_IT_number 1
_space_group_name_Hall 'P 1'
loop_
_atom_site_label
_atom_site_fract_x
_atom_site_fract_y
_atom_site_fract_z
_atom_site_occupancy
Au1 0.500 0.000 0.185 1
Au2 0.000 0.500 0.815 1
O1 0.500 0.500 0.000 1
O2 0.000 0.000 0.000 1
As1 0.500 0.000 0.691 1
As2 0.000 0.500 0.309 1
Ta1 0.500 0.500 0.500 1
Ta2 0.000 0.000 0.500 1
# - Space group: P4/nmm, No. 129
# - ρ: 12.9 g/cm3
# - Energy above the most stable polymorph in this dataset: 58.1 kJ/mol of atoms
# - DFT total energy: -6.369 eV/atom



No. 17
# ThGaB4 (PBE-GGA, optimized geometry)
data_ThGaB4
_chemical_formula_sum 'Th1 Ga1 B4'
_cell_length_a 5.295
_cell_length_b 5.295
_cell_length_c 5.295
_cell_angle_alpha 144.42
_cell_angle_beta 120.34
_cell_angle_gamma 71.43
_space_group_name_H-M_alt 'P 1'
_space_group_IT_number 1
_space_group_name_Hall 'P 1'
loop_
_atom_site_label
_atom_site_fract_x
_atom_site_fract_y
_atom_site_fract_z
_atom_site_occupancy
Th1 0.500 0.500 0.000 1
Ga1 0.000 0.000 0.000 1
B1 0.437 0.760 0.677 1
B2 0.563 0.240 0.323 1
B3 0.917 0.240 0.677 1
B4 0.083 0.760 0.323 1
# - Space group: Immm, No. 71
# - ρ: 7.8 g/cm3
# - Energy above the most stable polymorph in this dataset: 0.0 kJ/mol of atoms
# - DFT total energy: -6.287 eV/atom



No. 18
# RbDy3F10 (PBE-GGA, optimized geometry)
data_RbDy3F10
_chemical_formula_sum 'Rb1 Dy3 F10'
_cell_length_a 7.665
_cell_length_b 7.665
_cell_length_c 4.016
_cell_angle_alpha 90.06
_cell_angle_beta 90.06
_cell_angle_gamma 60.02
_space_group_name_H-M_alt 'P 1'
_space_group_IT_number 1
_space_group_name_Hall 'P 1'
loop_
_atom_site_label
_atom_site_fract_x
_atom_site_fract_y
_atom_site_fract_z
_atom_site_occupancy
Rb1 0.505 0.505 0.553 1
Dy1 0.011 0.491 0.044 1
Dy2 0.491 0.011 0.044 1
Dy3 0.011 0.011 0.049 1
F1 0.896 0.308 0.809 1
F2 0.171 0.171 0.273 1
F3 0.955 0.955 0.551 1
F4 0.955 0.602 0.546 1
F5 0.677 0.677 0.071 1
F6 0.676 0.160 0.076 1
F7 0.602 0.955 0.546 1
F8 0.309 0.309 0.807 1
F9 0.308 0.896 0.809 1
F10 0.160 0.676 0.076 1
# - Space group: Cm, No. 8
# - ρ: 6.2 g/cm3
# - DFT total energy: -6.271 eV/atom



No. 19
# AlMo3 (PBE-GGA, optimized geometry)
data_AlMo3
_chemical_formula_sum 'Al1 Mo3'
_cell_length_a 4.446
_cell_length_b 4.446
_cell_length_c 4.446
_cell_angle_alpha 60.00
_cell_angle_beta 60.00
_cell_angle_gamma 60.00
_space_group_name_H-M_alt 'P 1'
_space_group_IT_number 1
_space_group_name_Hall 'P 1'
loop_
_atom_site_label
_atom_site_fract_x
_atom_site_fract_y
_atom_site_fract_z
_atom_site_occupancy
Mo1 0.000 0.000 0.000 1
Mo2 0.250 0.250 0.250 1
Mo3 0.500 0.500 0.500 1
Al1 0.750 0.750 0.750 1
# - Space group: Fm-3m, No. 225
# - ρ: 8.4 g/cm3
# - Energy above the most stable polymorph in this dataset: 0.0 kJ/mol of atoms
# - DFT total energy: -9.075 eV/atom



No. 20
# Y2CdB (PBE-GGA, optimized geometry)
data_Y2CdB
_chemical_formula_sum 'Y4 Cd2 B2'
_cell_length_a 3.645
_cell_length_b 3.645
_cell_length_c 16.816
_cell_angle_alpha 90.00
_cell_angle_beta 90.00
_cell_angle_gamma 120.00
_space_group_name_H-M_alt 'P 1'
_space_group_IT_number 1
_space_group_name_Hall 'P 1'
loop_
_atom_site_label
_atom_site_fract_x
_atom_site_fract_y
_atom_site_fract_z
_atom_site_occupancy
Cd1 0.333 0.667 0.750 1
Cd2 0.667 0.333 0.250 1
B1 0.000 0.000 0.000 1
B2 0.000 0.000 0.500 1
Y1 0.667 0.333 0.909 1
Y2 0.333 0.667 0.091 1
Y3 0.667 0.333 0.591 1
Y4 0.333 0.667 0.409 1
# - Space group: P6_3/mmc, No. 194
# - ρ: 5.2 g/cm3
# - Energy above the most stable polymorph in this dataset: 0.0 kJ/mol of atoms
# - DFT total energy: -5.172 eV/atom